First-principles (PBE) data for crystalline CsKHg4 at its relaxed geometry, as listed in Alexandria.

Properties
Space group   F-43m
Total energy   -4.47 eV per cell
Calculated volume   206.14 Å³/cell
Formation energy from the elements   -218 meV/atom

```
CsKHg4
1.0
0.000 4.689 4.689
4.689 0.000 4.689
4.689 4.689 0.000
Cs K Hg
1 1 4
Direct
0.000 0.000 0.000
0.250 0.250 0.250
0.128 0.624 0.624
0.624 0.128 0.624
0.624 0.624 0.128
0.624 0.624 0.624
```



First-principles (PBE) data for crystalline CsKHg3 at its relaxed geometry, as listed in Alexandria.

Properties
Space group   Pm-3m
Total energy   -3.12 eV per cell
Calculated volume   266.31 Å³/cell
Formation energy from the elements   -53 meV/atom

```
CsKHg3
1.0
6.434 0.000 0.000
0.000 6.434 0.000
0.000 0.000 6.434
Cs K Hg
1 1 3
Direct
0.000 0.000 0.000
0.500 0.500 0.500
0.000 0.500 0.500
0.500 0.000 0.500
0.500 0.500 0.000
```



First-principles (PBE) data for crystalline Cs2K5Hg2 at its relaxed geometry, as listed in Alexandria.

Properties
Space group   C2/m
Total energy   -8.41 eV per cell
Calculated volume   608.34 Å³/cell
Formation energy from the elements   -68 meV/atom

```
Cs2K5Hg2
1.0
9.794 -2.466 0.000
9.794 2.466 0.000
-8.304 0.000 12.593
Cs K Hg
2 5 2
Direct
0.094 0.094 0.325
0.906 0.906 0.675
0.191 0.191 0.047
0.375 0.375 0.365
0.500 0.500 0.000
0.625 0.625 0.635
0.809 0.809 0.953
0.415 0.415 0.161
0.585 0.585 0.839
```



First-principles (PBE) data for crystalline Cs3KHg3 at its relaxed geometry, as listed in Alexandria.

Properties
Space group   Pm-3n
Total energy   -9.08 eV per cell
Calculated volume   1129.95 Å³/cell
Formation energy from the elements   3 meV/atom

```
Cs3KHg3
1.0
10.416 0.000 0.000
0.000 10.416 0.000
0.000 0.000 10.416
Cs K Hg
6 2 6
Direct
0.000 0.250 0.500
0.000 0.750 0.500
0.250 0.500 0.000
0.500 0.000 0.250
0.500 0.000 0.750
0.750 0.500 0.000
0.000 0.000 0.000
0.500 0.500 0.500
0.000 0.500 0.250
0.000 0.500 0.750
0.250 0.000 0.500
0.500 0.250 0.000
0.500 0.750 0.000
0.750 0.000 0.500
```



First-principles (PBE) data for crystalline CsK2Hg8 at its relaxed geometry, as listed in Alexandria.

Properties
Space group   C2/m
Total energy   -7.99 eV per cell
Calculated volume   374.79 Å³/cell
Formation energy from the elements   -229 meV/atom

```
CsK2Hg8
1.0
4.609 -8.730 0.000
4.609 8.730 0.000
-3.932 0.000 4.657
Cs K Hg
1 2 8
Direct
0.000 0.000 0.000
0.317 0.683 0.500
0.683 0.317 0.500
0.093 0.359 0.732
0.217 0.783 0.000
0.359 0.093 0.732
0.495 0.495 0.752
0.505 0.505 0.248
0.641 0.907 0.268
0.783 0.217 0.000
0.907 0.641 0.268
```



First-principles (PBE) data for crystalline CsKHg3 at its relaxed geometry, as listed in Alexandria.

Properties
Space group   P2_1/m
Total energy   -8.01 eV per cell
Calculated volume   410.03 Å³/cell
Formation energy from the elements   -230 meV/atom

```
CsKHg3
1.0
6.847 0.000 0.000
0.000 8.283 0.000
-1.531 0.000 7.230
Cs K Hg
2 2 6
Direct
0.207 0.250 0.215
0.793 0.750 0.785
0.193 0.750 0.406
0.807 0.250 0.594
0.324 0.063 0.736
0.324 0.437 0.736
0.337 0.750 0.972
0.663 0.250 0.028
0.676 0.563 0.264
0.676 0.937 0.264
```



First-principles (PBE) data for crystalline Cs3K5Hg12 at its relaxed geometry, as listed in Alexandria.

Properties
Space group   Ia-3d
Total energy   -55.75 eV per cell
Calculated volume   4425.92 Å³/cell
Formation energy from the elements   -113 meV/atom

```
Cs3K5Hg12
1.0
-10.343 10.343 10.343
10.343 -10.343 10.343
10.343 10.343 -10.343
Cs K Hg
12 20 48
Direct
0.125 0.250 0.375
0.125 0.375 0.750
0.250 0.375 0.125
0.250 0.875 0.625
0.375 0.125 0.250
0.375 0.750 0.125
0.625 0.250 0.875
0.625 0.875 0.750
0.750 0.125 0.375
0.750 0.625 0.875
0.875 0.625 0.250
0.875 0.750 0.625
0.000 0.000 0.000
0.000 0.000 0.500
0.000 0.500 0.000
0.000 0.500 0.500
0.125 0.750 0.875
0.125 0.875 0.250
0.250 0.125 0.875
0.250 0.625 0.375
0.375 0.250 0.625
0.375 0.625 0.750
0.500 0.000 0.000
0.500 0.000 0.500
0.500 0.500 0.000
0.500 0.500 0.500
0.625 0.375 0.250
0.625 0.750 0.375
0.750 0.375 0.625
0.750 0.875 0.125
0.875 0.125 0.750
0.875 0.250 0.125
0.066 0.727 0.635
0.066 0.839 0.431
0.069 0.661 0.434
0.069 0.908 0.635
0.092 0.227 0.161
0.092 0.365 0.931
0.135 0.227 0.566
0.135 0.408 0.569
0.161 0.092 0.227
0.161 0.569 0.934
0.227 0.161 0.092
0.227 0.566 0.135
0.273 0.365 0.934
0.273 0.408 0.339
0.339 0.273 0.408
0.339 0.566 0.931
0.365 0.931 0.092
0.365 0.934 0.273
0.408 0.339 0.273
0.408 0.569 0.135
0.431 0.066 0.839
0.431 0.865 0.592
0.434 0.069 0.661
0.434 0.865 0.773
0.566 0.135 0.227
0.566 0.931 0.339
0.569 0.135 0.408
0.569 0.934 0.161
0.592 0.431 0.865
0.592 0.661 0.727
0.635 0.066 0.727
0.635 0.069 0.908
0.661 0.434 0.069
0.661 0.727 0.592
0.727 0.592 0.661
0.727 0.635 0.066
0.773 0.434 0.865
0.773 0.839 0.908
0.839 0.431 0.066
0.839 0.908 0.773
0.865 0.592 0.431
0.865 0.773 0.434
0.908 0.635 0.069
0.908 0.773 0.839
0.931 0.092 0.365
0.931 0.339 0.566
0.934 0.161 0.569
0.934 0.273 0.365
```



First-principles (PBE) data for crystalline Cs2K7Hg2 at its relaxed geometry, as listed in Alexandria.

Properties
Space group   Immm
Total energy   -10.73 eV per cell
Calculated volume   684.31 Å³/cell
Formation energy from the elements   -67 meV/atom

```
Cs2K7Hg2
1.0
-3.068 6.579 8.476
3.068 -6.579 8.476
3.068 6.579 -8.476
Cs K Hg
2 7 2
Direct
0.126 0.126 0.000
0.874 0.874 0.000
0.109 0.364 0.745
0.345 0.845 0.500
0.381 0.636 0.745
0.500 0.500 0.000
0.619 0.364 0.255
0.655 0.155 0.500
0.891 0.636 0.255
0.285 0.000 0.285
0.715 0.000 0.715
```



First-principles (PBE) data for crystalline CsK2Hg10 at its relaxed geometry, as listed in Alexandria.

Properties
Space group   Pbam
Total energy   -16.17 eV per cell
Calculated volume   1057.57 Å³/cell
Formation energy from the elements   -155 meV/atom

```
CsK2Hg10
1.0
6.938 0.000 0.000
0.000 23.596 0.000
0.000 0.000 6.461
Cs K Hg
2 4 20
Direct
0.000 0.000 0.000
0.500 0.500 0.000
0.205 0.311 0.500
0.295 0.811 0.500
0.705 0.189 0.500
0.795 0.689 0.500
0.001 0.267 0.000
0.016 0.569 0.000
0.162 0.853 0.000
0.215 0.155 0.267
0.215 0.155 0.733
0.285 0.655 0.267
0.285 0.655 0.733
0.338 0.353 0.000
0.484 0.069 0.000
0.499 0.767 0.000
0.501 0.233 0.000
0.516 0.931 0.000
0.662 0.647 0.000
0.715 0.345 0.267
0.715 0.345 0.733
0.785 0.845 0.267
0.785 0.845 0.733
0.838 0.147 0.000
0.984 0.431 0.000
0.999 0.733 0.000
```



First-principles (PBE) data for crystalline Cs3K5Hg3 at its relaxed geometry, as listed in Alexandria.

Properties
Space group   P-62m
Total energy   -10.10 eV per cell
Calculated volume   782.42 Å³/cell
Formation energy from the elements   -104 meV/atom

```
Cs3K5Hg3
1.0
10.993 0.000 0.000
-5.497 9.521 0.000
0.000 0.000 7.476
Cs K Hg
3 5 3
Direct
0.000 0.629 0.000
0.371 0.371 0.000
0.629 0.000 0.000
0.000 0.250 0.500
0.250 0.000 0.500
0.333 0.667 0.500
0.667 0.333 0.500
0.750 0.750 0.500
0.000 0.629 0.500
0.371 0.371 0.500
0.629 0.000 0.500
```



First-principles (PBE) data for crystalline CsKHg14 at its relaxed geometry, as listed in Alexandria.

Properties
Space group   Imma
Total energy   -16.17 eV per cell
Calculated volume   1055.90 Å³/cell
Formation energy from the elements   -119 meV/atom

```
CsKHg14
1.0
-5.793 6.842 6.660
5.793 -6.842 6.660
5.793 6.842 -6.660
Cs K Hg
2 2 28
Direct
0.500 0.000 0.000
0.500 0.500 0.500
0.099 0.349 0.750
0.901 0.651 0.250
0.012 0.885 0.127
0.115 0.233 0.367
0.115 0.748 0.882
0.170 0.558 0.338
0.170 0.833 0.612
0.212 0.578 0.634
0.239 0.122 0.117
0.258 0.885 0.373
0.280 0.167 0.838
0.280 0.442 0.112
0.365 0.233 0.618
0.365 0.748 0.133
0.444 0.578 0.866
0.494 0.878 0.617
0.506 0.122 0.383
0.556 0.422 0.134
0.635 0.252 0.867
0.635 0.767 0.382
0.720 0.558 0.888
0.720 0.833 0.162
0.742 0.115 0.627
0.761 0.878 0.883
0.788 0.422 0.366
0.830 0.167 0.388
0.830 0.442 0.662
0.885 0.252 0.118
0.885 0.767 0.633
0.988 0.115 0.873
```



First-principles (PBE) data for crystalline Cs2K5Hg4 at its relaxed geometry, as listed in Alexandria.

Properties
Space group   C2/m
Total energy   -10.05 eV per cell
Calculated volume   590.52 Å³/cell
Formation energy from the elements   -150 meV/atom

```
Cs2K5Hg4
1.0
8.281 -4.201 0.000
8.281 4.201 0.000
-7.169 0.000 8.487
Cs K Hg
2 5 4
Direct
0.215 0.215 0.156
0.785 0.785 0.844
0.195 0.721 0.636
0.279 0.805 0.364
0.500 0.500 0.000
0.721 0.195 0.636
0.805 0.279 0.364
0.194 0.194 0.767
0.275 0.275 0.590
0.725 0.725 0.410
0.806 0.806 0.233
```



First-principles (PBE) data for crystalline CsKHg at its relaxed geometry, as listed in Alexandria.

Properties
Space group   Amm2
Total energy   -5.45 eV per cell
Calculated volume   359.22 Å³/cell
Formation energy from the elements   -157 meV/atom

```
CsKHg
1.0
5.310 0.000 0.000
0.000 2.625 12.885
0.000 -2.625 12.885
Cs K Hg
2 2 2
Direct
0.000 0.000 0.000
0.500 0.374 0.374
0.000 0.749 0.749
0.500 0.148 0.148
0.000 0.610 0.610
0.500 0.544 0.544
```



First-principles (PBE) data for crystalline Cs4K4Hg at its relaxed geometry, as listed in Alexandria.

Properties
Space group   P4_2/n
Total energy   -17.13 eV per cell
Calculated volume   1450.27 Å³/cell
Formation energy from the elements   -51 meV/atom

```
Cs4K4Hg
1.0
12.487 0.000 0.000
0.000 12.487 0.000
0.000 0.000 9.301
Cs K Hg
8 8 2
Direct
0.047 0.684 0.122
0.184 0.953 0.622
0.316 0.547 0.622
0.453 0.816 0.122
0.547 0.184 0.878
0.684 0.453 0.378
0.816 0.047 0.378
0.953 0.316 0.878
0.079 0.322 0.420
0.178 0.079 0.080
0.322 0.421 0.080
0.421 0.178 0.420
0.579 0.822 0.580
0.678 0.579 0.920
0.822 0.921 0.920
0.921 0.678 0.580
0.250 0.250 0.750
0.750 0.750 0.250
```



First-principles (PBE) data for crystalline Cs3KHg4 at its relaxed geometry, as listed in Alexandria.

Properties
Space group   Imm2
Total energy   -5.72 eV per cell
Calculated volume   505.01 Å³/cell
Formation energy from the elements   -106 meV/atom

```
Cs3KHg4
1.0
-4.658 7.191 3.769
4.658 -7.191 3.769
4.658 7.191 -3.769
Cs K Hg
3 1 4
Direct
0.000 0.000 0.000
0.240 0.500 0.740
0.760 0.500 0.260
0.502 0.002 0.500
0.261 0.000 0.261
0.500 0.344 0.844
0.500 0.656 0.156
0.738 0.000 0.739
```



First-principles (PBE) data for crystalline Cs4KHg5 at its relaxed geometry, as listed in Alexandria.

Properties
Space group   I4mm
Total energy   -7.81 eV per cell
Calculated volume   519.78 Å³/cell
Formation energy from the elements   -179 meV/atom

```
Cs4KHg5
1.0
-6.429 6.429 3.144
6.429 -6.429 3.144
6.429 6.429 -3.144
Cs K Hg
4 1 5
Direct
0.000 0.285 0.285
0.000 0.715 0.715
0.285 0.000 0.285
0.715 0.000 0.715
0.610 0.610 0.000
0.119 0.119 0.000
0.278 0.278 0.610
0.278 0.669 0.000
0.669 0.278 0.000
0.669 0.669 0.390
```



First-principles (PBE) data for crystalline CsK3Hg at its relaxed geometry, as listed in Alexandria.

Properties
Space group   Pm-3m
Total energy   -2.79 eV per cell
Calculated volume   602.10 Å³/cell
Formation energy from the elements   331 meV/atom

```
CsK3Hg
1.0
8.444 0.000 0.000
0.000 8.444 0.000
0.000 0.000 8.444
Cs K Hg
1 3 1
Direct
0.000 0.000 0.000
0.000 0.000 0.500
0.000 0.500 0.000
0.500 0.000 0.000
0.500 0.500 0.500
```